No. 1
Entry from Alexandria: a geometry-optimized Pr2Sm6ErTm structure (PBE).

Cell and atoms, written as extended XYZ:
```
20
Lattice="4.572 -7.636 0.000 4.572 7.636 0.000 -1.512 0.000 9.707" Properties=species:S:1:pos:R:3 pbc="T T T"
Pr 2.182 0.780 0.405
Pr 1.426 -0.780 5.258
Pr 6.206 0.780 4.449
Pr 5.450 -0.780 9.303
Sm 2.433 4.266 1.841
Sm 3.158 4.766 5.402
Sm 3.719 4.766 9.159
Sm 3.045 1.595 3.692
Sm 5.955 4.266 3.013
Sm 2.289 -1.595 8.545
Sm 5.343 1.595 1.162
Sm 1.677 -4.266 6.695
Sm 4.587 -1.595 6.016
Sm 3.914 -4.766 0.549
Sm 4.474 -4.766 4.305
Sm 5.200 -4.266 7.866
Er 4.194 7.361 2.427
Er 3.438 -7.361 7.281
Tm 3.438 1.413 7.281
Tm 4.194 -1.413 2.427
```

Calculated values
Total magnetic moment: 0.00 μB/cell
Space-group type: C2/c, No. 15
E_form: 116 meV per atom
Uncorrected energy: -91.488 eV per cell



No. 2
Entry from Alexandria: a geometry-optimized PrSm3ErTm structure (PBE).

Cell and atoms, written as extended XYZ:
```
12
Lattice="11.196 -2.743 0.000 11.196 2.743 0.000 -0.981 0.000 6.759" Properties=species:S:1:pos:R:3 pbc="T T T"
Pr 2.449 0.000 3.216
Pr 18.962 0.000 3.542
Sm -0.219 0.000 5.223
Sm 5.455 0.000 4.659
Sm 7.185 0.000 1.501
Sm 14.226 0.000 5.257
Sm 15.957 0.000 2.100
Sm 21.631 0.000 1.535
Er 3.682 0.000 0.210
Er 17.730 0.000 6.549
Tm 8.737 0.000 5.711
Tm 12.674 0.000 1.048
```

Calculated values
Total magnetic moment: 0.00 μB/cell
Space-group type: C2/m, No. 12
E_form: 193 meV per atom
Uncorrected energy: -53.628 eV per cell



No. 3
Entry from Alexandria: a geometry-optimized PrSm2Er6Tm3 structure (PBE).

Cell and atoms, written as extended XYZ:
```
12
Lattice="3.068 -5.309 0.000 3.068 5.309 0.000 -2.041 0.000 11.524" Properties=species:S:1:pos:R:3 pbc="T T T"
Pr 0.000 0.000 0.000
Sm 3.068 1.769 0.000
Sm 3.068 -1.769 0.000
Er 1.032 1.772 2.934
Er -0.001 0.000 8.590
Er 1.032 -1.772 2.934
Er 3.063 1.772 8.590
Er 4.096 0.000 2.933
Er 3.063 -1.772 8.590
Tm 2.048 3.538 5.762
Tm 2.048 0.000 5.762
Tm 2.048 -3.538 5.762
```

Calculated values
Total magnetic moment: 0.00 μB/cell
Space-group type: C2/m, No. 12
E_form: 24 meV per atom
Uncorrected energy: -54.723 eV per cell



No. 4
Entry from Alexandria: a geometry-optimized PrSm6ErTm2 structure (PBE).

Cell and atoms, written as extended XYZ:
```
20
Lattice="4.646 -7.554 0.000 4.646 7.554 0.000 -1.037 0.000 9.490" Properties=species:S:1:pos:R:3 pbc="T T T"
Pr 3.868 7.084 7.118
Pr 4.387 -7.084 2.373
Sm 1.917 4.155 6.487
Sm 4.008 4.859 0.528
Sm 4.766 4.859 4.217
Sm 2.849 1.688 8.385
Sm 5.820 4.155 7.749
Sm 4.888 1.688 5.851
Sm 3.367 -1.688 3.640
Sm 2.435 -4.155 1.742
Sm 5.407 -1.688 1.106
Sm 3.489 -4.859 5.274
Sm 4.248 -4.859 8.962
Sm 6.339 -4.155 3.003
Er 4.387 1.342 2.373
Er 3.868 -1.342 7.118
Tm 1.786 0.749 5.219
Tm 2.304 -0.749 0.473
Tm 5.951 0.749 9.017
Tm 6.470 -0.749 4.272
```

Calculated values
Total magnetic moment: 0.00 μB/cell
Space-group type: C2/c, No. 15
E_form: 117 meV per atom
Uncorrected energy: -90.857 eV per cell



No. 5
Entry from Alexandria: a geometry-optimized Pr6Sm3ErTm2 structure (PBE).

Cell and atoms, written as extended XYZ:
```
12
Lattice="3.161 -5.477 0.000 3.161 5.477 0.000 -2.104 0.000 11.746" Properties=species:S:1:pos:R:3 pbc="T T T"
Pr -0.002 1.827 8.855
Pr 1.057 0.000 2.892
Pr -0.002 -1.827 8.855
Pr 4.220 1.827 2.891
Pr 3.161 0.000 8.854
Pr 4.220 -1.827 2.891
Sm -1.052 0.000 5.873
Sm 2.109 1.827 5.873
Sm 2.109 -1.827 5.873
Er 3.161 0.000 0.000
Tm 3.161 3.652 0.000
Tm 3.161 -3.652 0.000
```

Calculated values
Total magnetic moment: 0.00 μB/cell
Space-group type: C2/m, No. 12
E_form: 15 meV per atom
Uncorrected energy: -56.165 eV per cell



No. 6
Entry from Alexandria: a geometry-optimized Pr4Sm2ErTm structure (PBE).

Cell and atoms, written as extended XYZ:
```
8
Lattice="5.160 0.000 0.000 0.000 5.188 0.000 -0.007 0.000 10.157" Properties=species:S:1:pos:R:3 pbc="T T T"
Pr 5.157 0.000 2.530
Pr -0.004 0.000 7.627
Pr 2.578 2.594 2.540
Pr 2.575 2.594 7.616
Sm 0.000 2.594 0.000
Sm 2.577 0.000 5.078
Er -0.004 2.594 5.078
Tm 2.580 0.000 0.000
```

Calculated values
Total magnetic moment: 0.00 μB/cell
Space-group type: P2/m, No. 10
E_form: 16 meV per atom
Uncorrected energy: -37.466 eV per cell



No. 7
Entry from Alexandria: a geometry-optimized PrSmEr2Tm4 structure (PBE).

Cell and atoms, written as extended XYZ:
```
16
Lattice="-3.380 5.861 6.607 3.380 -5.861 6.607 3.380 5.861 -6.607" Properties=species:S:1:pos:R:3 pbc="T T T"
Pr 0.000 0.000 0.000
Pr 0.000 5.861 0.000
Sm -1.690 2.930 3.303
Sm 1.690 2.930 3.303
Er 1.690 2.930 -3.303
Er 1.690 -2.930 3.303
Er 3.380 0.000 0.000
Er 0.000 0.000 6.607
Tm 3.380 -0.034 3.274
Tm 1.701 2.930 -0.039
Tm 5.060 2.930 -0.039
Tm 3.380 5.827 -3.274
Tm 0.000 0.034 9.881
Tm -1.679 2.930 6.646
Tm 1.679 2.930 6.646
Tm 0.000 5.895 3.332
```

Calculated values
Total magnetic moment: 4.79 μB/cell
Space-group type: Imma, No. 74
E_form: 438 meV per atom
Uncorrected energy: -66.008 eV per cell



No. 8
Entry from Alexandria: a geometry-optimized PrSm2ErTm structure (PBE).

Cell and atoms, written as extended XYZ:
```
5
Lattice="3.667 0.000 0.000 0.000 5.584 0.000 -0.010 0.000 8.543" Properties=species:S:1:pos:R:3 pbc="T T T"
Pr 0.000 0.000 0.000
Sm -0.001 2.792 2.740
Sm 3.658 2.792 5.803
Er 1.834 2.792 0.000
Tm 1.829 0.000 4.272
```

Calculated values
Total magnetic moment: 0.00 μB/cell
Space-group type: P2/m, No. 10
E_form: 276 meV per atom
Uncorrected energy: -21.873 eV per cell



Among the records above, which one has the highest total magnetic moment? PrSmEr2Tm4



Repeat the third record exactly.
Entry from Alexandria: a geometry-optimized PrSm2Er6Tm3 structure (PBE).

Cell and atoms, written as extended XYZ:
```
12
Lattice="3.068 -5.309 0.000 3.068 5.309 0.000 -2.041 0.000 11.524" Properties=species:S:1:pos:R:3 pbc="T T T"
Pr 0.000 0.000 0.000
Sm 3.068 1.769 0.000
Sm 3.068 -1.769 0.000
Er 1.032 1.772 2.934
Er -0.001 0.000 8.590
Er 1.032 -1.772 2.934
Er 3.063 1.772 8.590
Er 4.096 0.000 2.933
Er 3.063 -1.772 8.590
Tm 2.048 3.538 5.762
Tm 2.048 0.000 5.762
Tm 2.048 -3.538 5.762
```

Calculated values
Total magnetic moment: 0.00 μB/cell
Space-group type: C2/m, No. 12
E_form: 24 meV per atom
Uncorrected energy: -54.723 eV per cell



Which of these has the highest uncorrected energy? PrSm2ErTm



Copy entry 1 word for word.
Entry from Alexandria: a geometry-optimized Pr2Sm6ErTm structure (PBE).

Cell and atoms, written as extended XYZ:
```
20
Lattice="4.572 -7.636 0.000 4.572 7.636 0.000 -1.512 0.000 9.707" Properties=species:S:1:pos:R:3 pbc="T T T"
Pr 2.182 0.780 0.405
Pr 1.426 -0.780 5.258
Pr 6.206 0.780 4.449
Pr 5.450 -0.780 9.303
Sm 2.433 4.266 1.841
Sm 3.158 4.766 5.402
Sm 3.719 4.766 9.159
Sm 3.045 1.595 3.692
Sm 5.955 4.266 3.013
Sm 2.289 -1.595 8.545
Sm 5.343 1.595 1.162
Sm 1.677 -4.266 6.695
Sm 4.587 -1.595 6.016
Sm 3.914 -4.766 0.549
Sm 4.474 -4.766 4.305
Sm 5.200 -4.266 7.866
Er 4.194 7.361 2.427
Er 3.438 -7.361 7.281
Tm 3.438 1.413 7.281
Tm 4.194 -1.413 2.427
```

Calculated values
Total magnetic moment: 0.00 μB/cell
Space-group type: C2/c, No. 15
E_form: 116 meV per atom
Uncorrected energy: -91.488 eV per cell